A relaxed ScTlAuF2 crystal, computed with PBE.

Computed properties:
The value obtained for the volume is 21.28 Å³ per atom. Its total magnetization is 0.000 μB per atom. The uncorrected formation energy comes out at -1958 meV/atom. As for the crystal system: tetragonal. The calculation puts the energy at -0.37499 Ry per atom.

Lattice parameters (Å, degrees): 4.0507 4.0507 6.4840 90.00 90.00 90.00
With the nearest neighbours (Å) after each atom.
Space group P4/mmm (No. 123)
One atom of each set of equivalent atoms:
Sc 0.0000 0.0000 0.0000  4 F 2.03
Tl 0.0000 0.0000 0.5000  4 Au 2.86
Au 0.5000 0.5000 0.5000  4 Tl 2.86
F 0.0000 0.5000 0.0000  2 Sc 2.03